Ti2CuH: relaxed, PBE.

Calculated values
The symmetry is R-3m (166). Its total energy is -5.88 eV/atom.

a b c (Å): 2.8851 2.8851 6.9590
angles (deg): 78.04 78.04 60.00
Element x y z (fractional)
Ti: 0.7727 0.7727 0.6819
Ti: 0.2273 0.2273 0.3181
Cu: 0.0000 0.0000 0.0000
H: 0.5000 0.5000 0.5000